DFT (PBE) results for a geometry-optimized Cs2NiAsS4 structure.

Summary:
uncorrected energy: -4.1684 eV/atom

Cell lengths 14.1183, 12.8570, 7.2988 Å; angles 84.11, 64.94, 30.95 degrees
Last column: nearest neighbours and their distance in Å.
Sites, in units of the cell vectors:
Cs: 0.0551 0.0551 0.6949  8 S 3.71-3.90, 2 Ni 4.04, 2 As 4.04
Cs: 0.3051 0.3051 0.9449  8 S 3.71-3.90, 2 Ni 4.04, 2 As 4.04
Cs: 0.6949 0.6949 0.0551  8 S 3.71-3.90, 2 As 4.04, 2 Ni 4.04
Cs: 0.9449 0.9449 0.3051  8 S 3.71-3.90, 2 As 4.04, 2 Ni 4.04
Ni: 0.3750 0.3750 0.3750  4 S 2.31
Ni: 0.6250 0.6250 0.6250  4 S 2.31
As: 0.1250 0.1250 0.1250  4 S 2.23
As: 0.8750 0.8750 0.8750  4 S 2.23
S: 0.0153 0.3361 0.3957  1 As 2.23, 1 Ni 2.31
S: 0.2472 0.6043 0.6639  1 As 2.23, 1 Ni 2.31
S: 0.3361 0.0153 0.7528  1 As 2.23, 1 Ni 2.31
S: 0.3957 0.7528 0.0153  1 As 2.23, 1 Ni 2.31
S: 0.6043 0.2472 0.9847  1 As 2.23, 1 Ni 2.31
S: 0.6639 0.9847 0.2472  1 As 2.23, 1 Ni 2.31
S: 0.7528 0.3957 0.3361  1 As 2.23, 1 Ni 2.31
S: 0.9847 0.6639 0.6043  1 As 2.23, 1 Ni 2.31